Model w:
Below is an optimized crystal structure of TcBSbI2, with properties calculated at the PBE-GGA level.

```
TcBSbI2
1.0
5.578 0.000 0.000
0.000 5.578 0.000
0.000 0.000 5.065
Tc B Sb I
1 1 1 2
direct
0.000 0.000 0.000
0.500 0.500 0.500
0.000 0.000 0.500
0.000 0.500 0.000
0.500 0.000 0.000
```

Calculated values
The magnetic moment comes out at 0.99 μB per formula unit. As for the space group: P4/mmm.



Model x:
Below is an optimized crystal structure of TcBSbI2, with properties calculated at the PBE-GGA level.

```
TcBSbI2
1.0
4.824 0.000 0.000
0.000 4.824 0.000
0.000 0.000 4.736
Tc B Sb I
1 1 1 2
direct
0.000 0.000 0.000
0.500 0.500 0.500
0.500 0.500 0.000
0.000 0.500 0.500
0.500 0.000 0.500
```

Calculated values
The magnetic moment comes out at 0.30 μB per formula unit. As for the space group: P4/mmm.



Most stable structure, least stable structure: model w, model x.



Model w:
Below is an optimized crystal structure of TlBSb2I, with properties calculated at the PBE-GGA level.

```
TlBSb2I
1.0
4.736 0.000 0.000
0.000 4.736 0.000
0.000 0.000 8.571
Tl B Sb I
1 1 2 1
direct
0.000 0.000 0.000
0.500 0.500 0.500
0.000 0.500 0.500
0.500 0.000 0.500
0.500 0.500 0.000
```

Calculated values
The magnetic moment comes out at 0.00 μB per formula unit. As for the space group: P4/mmm.



Model x:
Below is an optimized crystal structure of TlBSb2I, with properties calculated at the PBE-GGA level.

```
TlBSb2I
1.0
5.721 0.000 0.000
0.000 5.721 0.000
0.000 0.000 6.324
Tl B Sb I
1 1 2 1
direct
0.000 0.000 0.000
0.500 0.500 0.500
0.000 0.500 0.000
0.500 0.000 0.000
0.000 0.000 0.500
```

Calculated values
The magnetic moment comes out at 1.06 μB per formula unit. As for the space group: P4/mmm.



Most stable structure, least stable structure: model w, model x.